# AlCo2Se

Crystalline AlCo2Se at its relaxed geometry (PBE, the Alexandria database).

abc: 7.646 7.646 7.646
angles: 21.55 21.55 21.55
Site moments in Bohr magnetons follow the coordinates.
Sites, in units of the cell vectors:
Co 0.998 0.998 0.998  0.37
Se 0.250 0.250 0.250  0.01
Al 0.750 0.750 0.750  -0.01
Co 0.502 0.502 0.502  0.37

Values from the calculation:
The calculation puts the energy at -21.393 eV per cell. The space-group type is R-3m, No. 166. Its density of states at the Fermi level is 4.04 states/eV/cell.

# Ac4TmSn5

Crystalline Ac4TmSn5 at its relaxed geometry (PBE, the Alexandria database).

abc: 3.827 3.827 22.021
angles: 90.00 90.00 90.00
Sites, in units of the cell vectors:
Sn 0.500 0.500 0.082
Ac 0.000 0.000 0.814
Sn 0.500 0.500 0.290
Sn 0.500 0.500 0.710
Sn 0.500 0.500 0.500
Sn 0.500 0.500 0.918
Ac 0.000 0.000 0.395
Ac 0.000 0.000 0.605
Ac 0.000 0.000 0.186
Tm 0.000 0.000 0.000

Values from the calculation:
The calculation puts the energy at -46.871 eV per cell. The space-group type is P4/mmm, No. 123. Its density of states at the Fermi level is 5.16 states/eV/cell. The energy relative to the elements comes out at -574.2 kJ/mol of formula units.

# EuDy2Ru

Crystalline EuDy2Ru at its relaxed geometry (PBE, the Alexandria database).

abc: 3.802 3.802 10.708
angles: 79.77 79.77 60.00
Site moments in Bohr magnetons follow the coordinates.
Sites, in units of the cell vectors:
Dy 0.885 0.885 0.346  -0.02
Dy 0.115 0.115 0.654  -0.02
Ru 0.500 0.500 0.500  -0.02
Eu 0.000 0.000 0.000  7.03

Values from the calculation:
The calculation puts the energy at -28.622 eV per cell. The space-group type is R-3m, No. 166. Its density of states at the Fermi level is 2.83 states/eV/cell. The energy relative to the elements comes out at 12.8 kJ/mol of formula units.

# CaMoCl3

Crystalline CaMoCl3 at its relaxed geometry (PBE, the Alexandria database).

abc: 4.957 4.957 4.957
angles: 90.00 90.00 90.00
Site moments in Bohr magnetons follow the coordinates.
Sites, in units of the cell vectors:
Mo 0.000 0.000 0.000  2.16
Cl 0.500 0.000 0.000  0.05
Cl 0.000 0.500 0.000  0.01
Ca 0.500 0.500 0.500  -0.02
Cl 0.000 0.000 0.500  0.01

Values from the calculation:
The calculation puts the energy at -21.221 eV per cell. The space-group type is Pm-3m, No. 221. Its density of states at the Fermi level is 3.74 states/eV/cell.

# Cs2PrSbSe4

Crystalline Cs2PrSbSe4 at its relaxed geometry (PBE, the Alexandria database).

abc: 9.216 9.216 9.195
angles: 119.92 119.92 90.00
Sites, in units of the cell vectors:
Se 0.768 0.732 0.958
Cs 0.500 0.000 0.500
Cs 0.500 0.000 0.000
Se 0.764 0.309 0.536
Se 0.236 0.691 0.464
Sb 0.500 0.500 0.500
Cs 0.000 0.000 0.500
Se 0.809 0.264 0.036
Pr 0.000 0.500 0.000
Se 0.232 0.268 0.042
Se 0.191 0.736 0.964
Pr 0.000 0.500 0.500
Se 0.232 0.268 0.458
Sb 0.000 0.000 0.000
Cs 0.500 0.500 0.000
Se 0.768 0.732 0.542

Values from the calculation:
The calculation puts the energy at -67.155 eV per cell. The space-group type is Imma, No. 74.

# TbDy4Er2Tm2

Crystalline TbDy4Er2Tm2 at its relaxed geometry (PBE, the Alexandria database).

abc: 3.549 9.389 9.422
angles: 115.27 90.00 100.90
Sites, in units of the cell vectors:
Dy 0.481 0.963 0.665
Er 0.148 0.297 0.668
Tm 0.333 0.665 0.000
Tm 0.667 0.335 0.000
Dy 0.519 0.037 0.335
Dy 0.185 0.371 0.334
Tb 0.000 0.000 0.000
Er 0.852 0.703 0.332
Dy 0.815 0.629 0.666

Values from the calculation:
The calculation puts the energy at -41.087 eV per cell. The space-group type is C2/m, No. 12. Its density of states at the Fermi level is 12.02 states/eV/cell. The energy relative to the elements comes out at 1.9 kJ/mol of formula units.

# Ca2VGe

Crystalline Ca2VGe at its relaxed geometry (PBE, the Alexandria database).

abc: 8.425 8.425 6.646
angles: 50.66 50.66 90.00
Site moments in Bohr magnetons follow the coordinates.
Sites, in units of the cell vectors:
V 0.500 0.500 0.000  2.81
Ca 0.375 0.344 0.750  0.05
Ge 0.750 0.250 0.500  -0.08
Ge 0.000 0.000 0.000  -0.08
V 0.250 0.750 0.500  2.81
Ca 0.875 0.906 0.750  0.05
Ca 0.094 0.625 0.250  0.05
Ca 0.656 0.125 0.250  0.05

Values from the calculation:
The calculation puts the energy at -31.840 eV per cell. The space-group type is I-42d, No. 122. Its density of states at the Fermi level is 7.77 states/eV/cell. The energy relative to the elements comes out at 175.5 kJ/mol of formula units.

# Rb3CaNp2O9

Crystalline Rb3CaNp2O9 at its relaxed geometry (PBE, the Alexandria database).

abc: 6.163 6.163 7.564
angles: 90.00 90.00 120.00
Site moments in Bohr magnetons follow the coordinates.
Sites, in units of the cell vectors:
Np 0.667 0.333 0.837  0.64
Rb 0.333 0.667 0.658  0.00
Rb 0.000 0.000 0.000  0.00
O 0.500 0.000 0.000  -0.03
O 0.638 0.819 0.313  -0.03
Rb 0.667 0.333 0.342  0.00
O 0.819 0.181 0.687  -0.03
O 0.362 0.181 0.687  -0.03
O 0.819 0.638 0.687  -0.03
Np 0.333 0.667 0.163  0.64
O 0.000 0.500 0.000  -0.03
O 0.500 0.500 0.000  -0.03
O 0.181 0.819 0.313  -0.03
Ca 0.000 0.000 0.500  0.00
O 0.181 0.362 0.313  -0.03

Values from the calculation:
The calculation puts the energy at -113.582 eV per cell. The space-group type is P-3m1, No. 164. Its density of states at the Fermi level is 7.00 states/eV/cell.